The following is a DFT calculation (GGA-PBE) of an optimized crystal structure of BaMn2OsCl.

Calculated values
- uncorrected formation energy (eV/atom) = 1.096
- total energy (eV per atom) = -5.572

The structure in CIF format:
```
data_BaMn2OsCl
_cell_length_a 4.3856
_cell_length_b 5.6126
_cell_length_c 4.3856
_cell_angle_alpha 90.00
_cell_angle_beta 90.00
_cell_angle_gamma 90.00
_space_group_name_H-M_alt 'P 1'
_space_group_IT_number 1
loop_
_space_group_symop_operation_xyz
'x,y,z'
loop_
_atom_site_label
_atom_site_type_symbol
_atom_site_fract_x
_atom_site_fract_y
_atom_site_fract_z
_atom_site_occupancy
Os1 Os 0.5000 0.5000 0.5000 1
Cl1 Cl 0.0000 0.0000 0.0000 1
Mn1 Mn 0.0000 0.0000 0.5000 1
Mn2 Mn 0.5000 0.0000 0.0000 1
Ba1 Ba 0.0000 0.5000 0.0000 1
```